Material: Mn2GeOsO
Method: DFT, PBE with a Hubbard U
State: optimized geometry

Summary:
* electronic total energy: -6.2061 eV/atom

```
data_Mn2GeOsO
_chemical_formula_sum 'Mn2 Ge1 Os1 O1'
_space_group_name_H-M_alt 'P 4/m m m'
_space_group_IT_number 123
_space_group_name_Hall '-P 4 2'
_cell_length_a 5.014
_cell_length_b 5.014
_cell_length_c 4.627
_cell_angle_alpha 90.00
_cell_angle_beta 90.00
_cell_angle_gamma 90.00
loop_
_atom_site_label
_atom_site_type_symbol
_atom_site_fract_x
_atom_site_fract_y
_atom_site_fract_z
_atom_site_occupancy
Mn1 Mn 0.000 0.500 0.000 1
Ge1 Ge 0.000 0.000 0.500 1
Os1 Os 0.000 0.000 0.000 1
O1 O 0.500 0.500 0.500 1
```